A plane-wave DFT calculation with PBE-GGA was carried out for crystalline LiMg6Sn at its relaxed geometry.

- E_tot: -1.99 eV per atom
- Energy of formation: -5.7 kJ/mol of atoms
- E above lowest polymorph: 0.021 eV/atom
- V: 180 Å³ per cell

Lattice parameters (Å, degrees): 6.4202 6.4202 5.0380 90.00 90.00 120.00
Last column: nearest neighbours and their distance in Å.
Fractional coordinates of all 8 atoms:
Li1 0.0000 0.0000 0.0000  12 Mg 3.10-3.21
Mg1 0.0062 0.5031 0.0000  8 Mg 3.13-3.27, 2 Sn 3.15, 2 Li 3.21
Mg2 0.1624 0.3247 0.5000  2 Li 3.10, 8 Mg 3.13-3.29, 2 Sn 3.21
Mg3 0.1624 0.8376 0.5000  2 Li 3.10, 8 Mg 3.13-3.29, 2 Sn 3.21
Mg4 0.4969 0.5031 0.0000  8 Mg 3.13-3.27, 2 Sn 3.15, 2 Li 3.21
Mg5 0.4969 0.9938 0.0000  8 Mg 3.13-3.27, 2 Sn 3.15, 2 Li 3.21
Mg6 0.6753 0.8376 0.5000  2 Li 3.10, 8 Mg 3.13-3.29, 2 Sn 3.21
Sn1 0.6667 0.3333 0.5000  12 Mg 3.15-3.21

=====

A plane-wave DFT calculation with PBE-GGA was carried out for crystalline RuPt6Rh5 at its relaxed geometry.

- E_tot: -6.87 eV per atom
- Energy of formation: -1.8 kJ/mol of atoms
- V: 178 Å³ per cell

Lattice parameters (Å, degrees): 7.3074 7.3074 7.3074 149.05 115.47 73.28
Last column: nearest neighbours and their distance in Å.
Fractional coordinates of all 12 atoms:
Ru1 0.0000 0.0000 0.0000  8 Pt 2.74-2.75, 4 Rh 2.75
Pt1 0.0824 0.8338 0.2486  1 Ru 2.75, 7 Rh 2.75-2.79, 4 Pt 2.76-2.77
Pt2 0.2471 0.5000 0.7471  6 Rh 2.73-2.77, 2 Ru 2.74, 4 Pt 2.76
Pt3 0.4148 0.1662 0.2486  1 Ru 2.75, 7 Rh 2.75-2.79, 4 Pt 2.76-2.77
Pt4 0.5852 0.8338 0.7514  1 Ru 2.75, 7 Rh 2.75-2.79, 4 Pt 2.76-2.77
Pt5 0.7529 0.5000 0.2529  6 Rh 2.73-2.77, 2 Ru 2.74, 4 Pt 2.76
Pt6 0.9176 0.1662 0.7514  1 Ru 2.75, 7 Rh 2.75-2.79, 4 Pt 2.76-2.77
Rh1 0.1651 0.6651 0.5000  8 Pt 2.73-2.79, 2 Ru 2.75, 2 Rh 2.79
Rh2 0.3349 0.3349 0.0000  4 Rh 2.75-2.79, 8 Pt 2.76-2.77
Rh3 0.5000 0.0000 0.5000  4 Rh 2.75, 8 Pt 2.77
Rh4 0.6651 0.6651 0.0000  4 Rh 2.75-2.79, 8 Pt 2.76-2.77
Rh5 0.8349 0.3349 0.5000  8 Pt 2.73-2.79, 2 Ru 2.75, 2 Rh 2.79

=====

A plane-wave DFT calculation with PBE-GGA was carried out for crystalline CaLa2Cd at its relaxed geometry.

- E_tot: -3.22 eV per atom
- Energy of formation: -2.4 kJ/mol of atoms
- V: 265 Å³ per cell

Lattice parameters (Å, degrees): 6.7355 12.1123 3.5835 90.00 115.07 90.00
Last column: nearest neighbours and their distance in Å.
Fractional coordinates of all 8 atoms:
Ca1 0.0000 0.0000 0.0000  4 Cd 3.37-3.74, 4 La 3.56, 2 Ca 3.58
Ca2 0.5000 0.5000 0.0000  4 Cd 3.37-3.74, 4 La 3.56, 2 Ca 3.58
La1 0.2500 0.2500 0.5000  6 La 3.37-3.74, 2 Ca 3.56, 2 Cd 3.56
La2 0.2500 0.7500 0.5000  6 La 3.37-3.74, 2 Cd 3.56, 2 Ca 3.56
La3 0.7500 0.2500 0.5000  6 La 3.37-3.74, 2 Cd 3.56, 2 Ca 3.56
La4 0.7500 0.7500 0.5000  6 La 3.37-3.74, 2 Cd 3.56, 2 Ca 3.56
Cd1 0.0000 0.5000 0.0000  4 Ca 3.37-3.74, 4 La 3.56, 2 Cd 3.58
Cd2 0.5000 0.0000 0.0000  4 Ca 3.37-3.74, 4 La 3.56, 2 Cd 3.58

=====

A plane-wave DFT calculation with PBE-GGA was carried out for crystalline Be5Tc at its relaxed geometry.

- E_tot: -5.00 eV per atom
- Energy of formation: -15.7 kJ/mol of atoms
- E above lowest polymorph: 0.016 eV/atom
- V: 110 Å³ per cell

Lattice parameters (Å, degrees): 3.2729 10.2179 3.2867 90.00 90.00 90.00
Last column: nearest neighbours and their distance in Å.
Fractional coordinates of all 12 atoms:
Be1 0.0000 0.0000 0.0000  4 Tc 2.32, 8 Be 2.40-2.45
Be2 0.0000 0.1778 0.5000  10 Be 2.20-2.45, 2 Tc 2.44
Be3 0.0000 0.3276 0.0000  10 Be 2.25-2.40, 2 Tc 2.41
Be4 0.0000 0.6724 0.0000  10 Be 2.25-2.40, 2 Tc 2.41
Be5 0.0000 0.8222 0.5000  10 Be 2.20-2.45, 2 Tc 2.44
Be6 0.5000 0.1724 0.0000  10 Be 2.25-2.40, 2 Tc 2.41
Be7 0.5000 0.3222 0.5000  10 Be 2.20-2.45, 2 Tc 2.44
Be8 0.5000 0.5000 0.0000  4 Tc 2.32, 8 Be 2.40-2.45
Be9 0.5000 0.6778 0.5000  10 Be 2.20-2.45, 2 Tc 2.44
Be10 0.5000 0.8276 0.0000  10 Be 2.25-2.40, 2 Tc 2.41
Tc1 0.0000 0.5000 0.5000  12 Be 2.32-2.44
Tc2 0.5000 0.0000 0.5000  12 Be 2.32-2.44

=====

A plane-wave DFT calculation with PBE-GGA was carried out for crystalline La2Tb3Nd6In at its relaxed geometry.

- E_tot: -4.65 eV per atom
- Energy of formation: -6.0 kJ/mol of atoms
- V: 400 Å³ per cell

Lattice parameters (Å, degrees): 6.2486 6.2486 12.0100 95.00 95.00 120.06
Last column: nearest neighbours and their distance in Å.
Fractional coordinates of all 12 atoms:
La1 0.1662 0.8338 0.0000  3 La 3.60-3.61, 3 In 3.60-3.61, 6 Nd 3.65
La2 0.8338 0.1662 0.0000  3 La 3.60-3.61, 3 In 3.60-3.61, 6 Nd 3.65
Tb1 0.0000 0.0000 0.5000  6 Nd 3.59-3.63, 6 Tb 3.60-3.61
Tb2 0.3326 0.6674 0.5000  6 Nd 3.58-3.63, 6 Tb 3.60-3.63
Tb3 0.6674 0.3326 0.5000  6 Nd 3.58-3.63, 6 Tb 3.60-3.63
Nd1 0.0924 0.4168 0.7487  6 Nd 3.51-3.66, 3 Tb 3.59-3.63, 1 In 3.60, 2 La 3.65
Nd2 0.2591 0.2591 0.2522  6 Nd 3.51-3.66, 3 Tb 3.58-3.63, 1 In 3.61, 2 La 3.65
Nd3 0.4168 0.0924 0.7487  6 Nd 3.51-3.66, 3 Tb 3.59-3.63, 1 In 3.60, 2 La 3.65
Nd4 0.5832 0.9076 0.2513  6 Nd 3.51-3.66, 3 Tb 3.59-3.63, 1 In 3.60, 2 La 3.65
Nd5 0.7409 0.7409 0.7478  6 Nd 3.51-3.66, 3 Tb 3.58-3.63, 1 In 3.61, 2 La 3.65
Nd6 0.9076 0.5832 0.2513  6 Nd 3.51-3.66, 3 Tb 3.59-3.63, 1 In 3.60, 2 La 3.65
In1 0.5000 0.5000 0.0000  6 Nd 3.60-3.61, 6 La 3.60-3.61

=====

A plane-wave DFT calculation with PBE-GGA was carried out for crystalline Tb6HoAl2 at its relaxed geometry.

- E_tot: -4.59 eV per atom
- Energy of formation: -15.8 kJ/mol of atoms
- E above lowest polymorph: 0.000 eV/atom
- V: 257 Å³ per cell

Lattice parameters (Å, degrees): 6.5500 6.5500 11.7647 108.26 108.26 32.64
Last column: nearest neighbours and their distance in Å.
Fractional coordinates of all 9 atoms:
Tb1 0.0225 0.0225 0.3286  2 Al 3.10, 3 Tb 3.44-3.46
Tb2 0.3113 0.3113 0.4118  2 Al 3.22, 6 Tb 3.39-3.59
Tb3 0.3129 0.3129 0.1238  2 Al 3.13, 5 Tb 3.37-3.46
Tb4 0.6871 0.6871 0.8762  2 Al 3.13, 5 Tb 3.37-3.46
Tb5 0.6887 0.6887 0.5882  2 Al 3.22, 6 Tb 3.39-3.59
Tb6 0.9775 0.9775 0.6714  2 Al 3.10, 3 Tb 3.44-3.46
Ho1 0.0000 0.0000 0.0000  4 Al 3.11
Al1 0.3520 0.3520 0.7973  6 Tb 3.10-3.22, 2 Ho 3.11
Al2 0.6480 0.6480 0.2027  6 Tb 3.10-3.22, 2 Ho 3.11

=====

A plane-wave DFT calculation with PBE-GGA was carried out for crystalline HoSc5Ni2 at its relaxed geometry.

- E_tot: -6.16 eV per atom
- Energy of formation: -18.2 kJ/mol of atoms
- V: 345 Å³ per cell

Lattice parameters (Å, degrees): 6.2256 6.2256 16.4197 90.00 90.00 147.13
Last column: nearest neighbours and their distance in Å.
Fractional coordinates of all 16 atoms:
Ho1 0.1445 0.8555 0.7500  4 Ni 3.05, 5 Sc 3.17-3.39
Ho2 0.8555 0.1445 0.2500  4 Ni 3.05, 5 Sc 3.17-3.39
Sc1 0.1208 0.8792 0.2500  2 Ni 2.52
Sc2 0.1553 0.8447 0.5439  2 Ni 2.52
Sc3 0.1553 0.8447 0.9561  2 Ni 2.52
Sc4 0.4443 0.5557 0.6020  2 Ni 2.85, 2 Sc 3.10
Sc5 0.4443 0.5557 0.8980  2 Ni 2.85, 2 Sc 3.10
Sc6 0.5557 0.4443 0.1020  2 Ni 2.85, 2 Sc 3.10
Sc7 0.5557 0.4443 0.3980  2 Ni 2.85, 2 Sc 3.10
Sc8 0.8447 0.1553 0.0439  2 Ni 2.52
Sc9 0.8447 0.1553 0.4561  2 Ni 2.52
Sc10 0.8792 0.1208 0.7500  2 Ni 2.52
Ni1 0.2405 0.7595 0.1238  3 Sc 2.52
Ni2 0.2405 0.7595 0.3762  3 Sc 2.52
Ni3 0.7595 0.2405 0.6238  3 Sc 2.52
Ni4 0.7595 0.2405 0.8762  3 Sc 2.52

=====

A plane-wave DFT calculation with PBE-GGA was carried out for crystalline EuOF at its relaxed geometry.

- ΔE_f (raw): -2.922 eV/atom
- E_tot: -8.62 eV per atom
- V: 56 Å³ per cell

Lattice parameters (Å, degrees): 3.6805 3.6805 4.7986 90.00 90.00 120.00
Last column: nearest neighbours and their distance in Å.
Fractional coordinates of all 3 atoms:
Eu1 0.0000 0.0000 0.0000  3 O 2.26, 3 F 2.43
O1 0.3333 0.6667 0.1625  3 Eu 2.26
F1 0.6667 0.3333 0.7541  3 Eu 2.43

=====

A plane-wave DFT calculation with PBE-GGA was carried out for crystalline ErScNb2N4 at its relaxed geometry.

- ΔE_f (raw): -1.436 eV/atom
- E_tot: -9.48 eV per atom
- V: 94 Å³ per cell

Lattice parameters (Å, degrees): 5.5411 3.1842 5.6100 90.00 109.00 90.00
Last column: nearest neighbours and their distance in Å.
Fractional coordinates of all 8 atoms:
Er1 0.0000 0.0000 0.0000  6 N 2.32
Sc1 0.5000 0.5000 0.0000  6 N 2.27
Nb1 0.0000 0.5000 0.5000  6 N 2.27
Nb2 0.5000 0.0000 0.5000  6 N 2.22
N1 0.2564 0.0000 0.7445  3 Nb 2.22-2.27, 2 Sc 2.27, 1 Er 2.32
N2 0.2620 0.5000 0.2610  3 Nb 2.22-2.27, 1 Sc 2.27, 2 Er 2.32
N3 0.7380 0.5000 0.7390  3 Nb 2.22-2.27, 1 Sc 2.27, 2 Er 2.32
N4 0.7436 0.0000 0.2555  3 Nb 2.22-2.27, 2 Sc 2.27, 1 Er 2.32

=====

A plane-wave DFT calculation with PBE-GGA was carried out for crystalline LaZnIn2 at its relaxed geometry.

- E_tot: -3.16 eV per atom
- Energy of formation: -22.8 kJ/mol of atoms
- V: 103 Å³ per cell

Lattice parameters (Å, degrees): 3.6872 3.6872 7.5596 90.00 90.00 90.00
Last column: nearest neighbours and their distance in Å.
Fractional coordinates of all 4 atoms:
La1 0.0000 0.0000 0.0000  4 Zn 3.28, 5 In 3.44-3.47
Zn1 0.5000 0.5000 0.2640  5 In 3.00-3.32, 4 La 3.28
In1 0.0000 0.0000 0.4594  4 Zn 3.00, 4 In 3.19
In2 0.5000 0.5000 0.7029  4 In 3.19, 1 Zn 3.32, 4 La 3.44